Crystalline SrTcPb2 at its relaxed geometry, computed with PBE-GGA.

Unit cell a=3.7250 b=3.7250 c=7.8977 alpha=90.00 beta=90.00 gamma=90.00
Last column: nearest neighbours and their distance in Å.
Fractional positions:
Sr: 0.0000 0.0000 0.0000  1 Pb 3.25, 4 Tc 3.51
Tc: 0.5000 0.5000 0.2932  5 Pb 2.80-3.05
Pb: 0.0000 0.0000 0.4120  4 Tc 2.80
Pb: 0.5000 0.5000 0.6794  1 Tc 3.05, 4 Pb 3.38

Results
Energy relative to the elements (eV per atom): 0.322
Offset from the most stable computed form (eV/f.u.): 0.69
Space-group type: P4mm, No. 99
Total magnetic moment (μB/cell): 0.000

Crystalline SrTcPb2 at its relaxed geometry, computed with PBE-GGA.

Unit cell a=7.8444 b=7.8444 c=7.8444 alpha=154.59 beta=147.05 gamma=42.07
Last column: nearest neighbours and their distance in Å.
Fractional positions:
Sr: 0.0000 0.0000 0.0000  2 Tc 3.41, 2 Sr 3.45, 6 Pb 3.48-3.51
Tc: 0.7993 0.2993 0.5000  6 Pb 2.83-2.86
Pb: 0.3170 0.8170 0.5000  4 Tc 2.83
Pb: 0.6435 0.6435 0.0000  2 Tc 2.86

Results
Energy relative to the elements (eV per atom): 0.261
Offset from the most stable computed form (eV/f.u.): 0.44
Space-group type: Imm2, No. 44
Total magnetic moment (μB/cell): 0.000

Crystalline SrTe2Pb2 at its relaxed geometry, computed with PBE-GGA.

Unit cell a=9.4025 b=9.4025 c=9.4025 alpha=152.47 beta=152.47 gamma=39.32
Last column: nearest neighbours and their distance in Å.
Fractional positions:
Sr: 0.0000 0.0000 0.0000  8 Te 3.58
Te: 0.4050 0.4050 0.0000  1 Te 3.36, 4 Pb 3.54, 4 Sr 3.58
Te: 0.5950 0.5950 0.0000  1 Te 3.36, 4 Pb 3.54, 4 Sr 3.58
Pb: 0.2500 0.7500 0.5000  4 Pb 3.16, 4 Te 3.54
Pb: 0.7500 0.2500 0.5000  4 Pb 3.16, 4 Te 3.54

Results
Formation energy without anion corrections (eV per formula unit): -2.85
Offset from the most stable computed form (eV/f.u.): 0.00
Space-group type: I4/mmm, No. 139
Total magnetic moment (μB/cell): 0.000

Crystalline SrTePb at its relaxed geometry, computed with PBE-GGA.

Unit cell a=6.7419 b=6.7419 c=6.7419 alpha=142.13 beta=142.13 gamma=54.63
Last column: nearest neighbours and their distance in Å.
Fractional positions:
Sr: 0.0000 0.0000 0.0000  4 Te 3.28
Te: 0.4089 0.4089 0.0000  1 Pb 3.10, 4 Sr 3.28
Pb: 0.6675 0.6675 0.0000  1 Te 3.10

Results
Formation energy without anion corrections (eV per formula unit): -2.08
Space-group type: I4mm, No. 107
Total magnetic moment (μB/cell): 0.000

Crystalline SrTe3Pb at its relaxed geometry, computed with PBE-GGA.

Unit cell a=5.8554 b=5.8554 c=5.8554 alpha=90.00 beta=90.00 gamma=90.00
Last column: nearest neighbours and their distance in Å.
Fractional positions:
Sr: 0.0000 0.0000 0.0000  12 Te 4.14
Te: 0.0000 0.5000 0.5000  2 Pb 2.93
Te: 0.5000 0.0000 0.5000  2 Pb 2.93
Te: 0.5000 0.5000 0.0000  2 Pb 2.93
Pb: 0.5000 0.5000 0.5000  6 Te 2.93

Results
Formation energy without anion corrections (eV per formula unit): -1.45
Offset from the most stable computed form (eV/f.u.): 0.00
Space-group type: Pm-3m, No. 221
Total magnetic moment (μB/cell): 0.000

Crystalline SrTe3Pb at its relaxed geometry, computed with PBE-GGA.

Unit cell a=6.0684 b=6.0684 c=6.0684 alpha=90.00 beta=90.00 gamma=90.00
Last column: nearest neighbours and their distance in Å.
Fractional positions:
Sr: 0.0000 0.0000 0.0000  6 Te 3.03
Te: 0.0000 0.0000 0.5000  2 Sr 3.03
Te: 0.0000 0.5000 0.0000  2 Sr 3.03
Te: 0.5000 0.0000 0.0000  2 Sr 3.03
Pb: 0.5000 0.5000 0.5000  12 Te 4.29

Results
Formation energy without anion corrections (eV per formula unit): 0.26
Offset from the most stable computed form (eV/f.u.): 1.71
Space-group type: Pm-3m, No. 221
Total magnetic moment (μB/cell): 0.000

Crystalline Sr2TePb at its relaxed geometry, computed with PBE-GGA.

Unit cell a=5.8381 b=5.8381 c=5.8381 alpha=60.00 beta=60.00 gamma=60.00
Last column: nearest neighbours and their distance in Å.
Fractional positions:
Sr: 0.0000 0.0000 0.0000  4 Te 3.58, 4 Sr 3.58
Sr: 0.2500 0.2500 0.2500  4 Pb 3.58, 4 Sr 3.58
Te: 0.7500 0.7500 0.7500  4 Pb 3.58, 4 Sr 3.58
Pb: 0.5000 0.5000 0.5000  4 Te 3.58, 4 Sr 3.58

Results
Formation energy without anion corrections (eV per formula unit): -1.35
Offset from the most stable computed form (eV/f.u.): 2.65
Space-group type: F-43m, No. 216
Total magnetic moment (μB/cell): 0.002

Crystalline Sr5Te6Pb at its relaxed geometry, computed with PBE-GGA.

Unit cell a=8.2069 b=8.2069 c=8.2066 alpha=99.59 beta=99.59 gamma=120.00
Last column: nearest neighbours and their distance in Å.
Fractional positions:
Sr: 0.0000 0.0000 0.0000  6 Te 3.35-3.37
Sr: 0.1669 0.8331 0.5000  6 Te 3.35
Sr: 0.3340 0.6660 0.0000  6 Te 3.34-3.38
Sr: 0.6660 0.3340 0.0000  6 Te 3.34-3.38
Sr: 0.8331 0.1669 0.5000  6 Te 3.35
Te: 0.0858 0.4170 0.2511  1 Pb 3.33, 5 Sr 3.35-3.38
Te: 0.2516 0.2516 0.7482  1 Pb 3.33, 5 Sr 3.34-3.37
Te: 0.4170 0.0858 0.2511  1 Pb 3.33, 5 Sr 3.35-3.38
Te: 0.5830 0.9142 0.7489  1 Pb 3.33, 5 Sr 3.35-3.38
Te: 0.7484 0.7484 0.2518  1 Pb 3.33, 5 Sr 3.34-3.37
Te: 0.9142 0.5830 0.7489  1 Pb 3.33, 5 Sr 3.35-3.38
Pb: 0.5000 0.5000 0.5000  6 Te 3.33

Results
Formation energy without anion corrections (eV per formula unit): -18.20
Space-group type: C2/m, No. 12
Total magnetic moment (μB/cell): 0.000

Crystalline Sr2TePb at its relaxed geometry, computed with PBE-GGA.

Unit cell a=3.9900 b=3.9900 c=8.7657 alpha=90.00 beta=90.00 gamma=90.00
Last column: nearest neighbours and their distance in Å.
Fractional positions:
Sr: 0.0000 0.0000 0.2299  4 Te 3.47, 4 Pb 3.68
Sr: 0.0000 0.0000 0.7701  4 Te 3.47, 4 Pb 3.68
Te: 0.5000 0.5000 0.0000  8 Sr 3.47
Pb: 0.5000 0.5000 0.5000  8 Sr 3.68, 4 Pb 3.99

Results
Formation energy without anion corrections (eV per formula unit): -3.91
Offset from the most stable computed form (eV/f.u.): 0.09
Space-group type: P4/mmm, No. 123
Total magnetic moment (μB/cell): 0.000

Crystalline SrTePb at its relaxed geometry, computed with PBE-GGA.

Unit cell a=5.4284 b=5.4284 c=4.1202 alpha=90.00 beta=90.00 gamma=120.00
Last column: nearest neighbours and their distance in Å.
Fractional positions:
Sr: 0.0000 0.0000 0.0000  6 Te 3.74-3.76, 6 Pb 3.74-3.76, 2 Sr 4.12
Te: 0.6667 0.3333 0.5047  3 Pb 3.13
Pb: 0.3333 0.6667 0.4975  3 Te 3.13

Results
Formation energy without anion corrections (eV per formula unit): -1.79
Space-group type: P3m1, No. 156
Total magnetic moment (μB/cell): 0.000

Crystalline SrTePb at its relaxed geometry, computed with PBE-GGA.

Unit cell a=5.5051 b=5.5051 c=5.5051 alpha=60.00 beta=60.00 gamma=60.00
Last column: nearest neighbours and their distance in Å.
Fractional positions:
Sr: 0.0000 0.0000 0.0000  4 Pb 3.37, 4 Te 3.37
Te: 0.2500 0.2500 0.2500  4 Sr 3.37
Pb: 0.7500 0.7500 0.7500  4 Sr 3.37

Results
Formation energy without anion corrections (eV per formula unit): -1.17
Space-group type: F-43m, No. 216
Total magnetic moment (μB/cell): 0.000

Crystalline Sr2TePb at its relaxed geometry, computed with PBE-GGA.

Unit cell a=9.4530 b=9.4530 c=9.4530 alpha=27.19 beta=27.19 gamma=27.19
Last column: nearest neighbours and their distance in Å.
Fractional positions:
Sr: 0.2417 0.2417 0.2417  3 Te 3.28, 3 Pb 3.58
Sr: 0.7583 0.7583 0.7583  3 Te 3.28, 3 Pb 3.58
Te: 0.5000 0.5000 0.5000  6 Sr 3.28
Pb: 0.0000 0.0000 0.0000  6 Sr 3.58

Results
Formation energy without anion corrections (eV per formula unit): -4.00
Offset from the most stable computed form (eV/f.u.): 0.00
Space-group type: R-3m, No. 166
Total magnetic moment (μB/cell): 0.000

Q: Among the records above, which one has the highest total magnetic moment?
A: number 7

Q: Look up the total magnetic moment of the first one.
A: 0.000 μB/cell

Q: Look up the total magnetic moment of the fourth one.
A: 0.000 μB/cell

Q: Number 3 is which compound?
A: SrTe2Pb2